[1]
! PmBiI PBE relaxed; values from VASP
! energy relative to the lowest polymorph listed for this composition: 0.213 eV/atom
&SYSTEM
  ibrav = 0, nat = 6, ntyp = 3
/
ATOMIC_SPECIES
Pm 145.00 Pm.upf
Bi 208.98 Bi.upf
I 126.90 I.upf
CELL_PARAMETERS angstrom
3.738 0.000 0.000
0.000 3.738 0.000
0.000 0.000 15.684
ATOMIC_POSITIONS crystal
Pm 0.000 0.000 0.000
Pm 0.500 0.500 0.500
Bi 0.000 0.000 0.361
Bi 0.500 0.500 0.861
I 0.000 0.000 0.629
I 0.500 0.500 0.129

***

[2]
DFT (PBE) results for a geometry-optimized Pm2BiI3 structure. Values from VASP.

Geometry as Quantum ESPRESSO input:
```
&SYSTEM
  ibrav = 0, nat = 12, ntyp = 3
/
ATOMIC_SPECIES
Pm 145.00 Pm.upf
Bi 208.98 Bi.upf
I 126.90 I.upf
CELL_PARAMETERS angstrom
9.581 -2.337 0.000
9.581 2.337 0.000
-8.260 0.000 11.569
ATOMIC_POSITIONS crystal
Pm 0.106 0.106 0.446
Pm 0.365 0.365 0.168
Pm 0.635 0.635 0.832
Pm 0.894 0.894 0.554
Bi 0.096 0.096 0.663
Bi 0.904 0.904 0.337
I 0.161 0.161 0.017
I 0.262 0.262 0.396
I 0.443 0.443 0.746
I 0.557 0.557 0.254
I 0.738 0.738 0.604
I 0.839 0.839 0.983
```

***

[3]
DFT (PBE) results for a geometry-optimized Pm3BiI structure. Values from VASP.

Geometry as Quantum ESPRESSO input:
```
&SYSTEM
  ibrav = 0, nat = 20, ntyp = 3
/
ATOMIC_SPECIES
Pm 145.00 Pm.upf
Bi 208.98 Bi.upf
I 126.90 I.upf
CELL_PARAMETERS angstrom
6.880 -7.332 0.000
6.880 7.332 0.000
-0.898 0.000 6.563
ATOMIC_POSITIONS crystal
Pm 0.036 0.782 0.975
Pm 0.133 0.540 0.341
Pm 0.218 0.964 0.525
Pm 0.263 0.389 0.855
Pm 0.389 0.263 0.355
Pm 0.460 0.867 0.159
Pm 0.540 0.133 0.841
Pm 0.611 0.737 0.645
Pm 0.737 0.611 0.145
Pm 0.782 0.036 0.475
Pm 0.867 0.460 0.659
Pm 0.964 0.218 0.025
Bi 0.061 0.237 0.509
Bi 0.237 0.061 0.009
Bi 0.763 0.939 0.991
Bi 0.939 0.763 0.491
I 0.301 0.699 0.750
I 0.435 0.565 0.250
I 0.565 0.435 0.750
I 0.699 0.301 0.250
```

***

[4]
! PmBiI PBE relaxed; values from VASP
! energy relative to the lowest polymorph listed for this composition: 0.000 eV/atom
&SYSTEM
  ibrav = 0, nat = 12, ntyp = 3
/
ATOMIC_SPECIES
Pm 145.00 Pm.upf
Bi 208.98 Bi.upf
I 126.90 I.upf
CELL_PARAMETERS angstrom
7.717 0.000 0.000
0.000 15.281 0.000
-2.404 0.000 3.573
ATOMIC_POSITIONS crystal
Pm 0.000 0.131 0.000
Pm 0.000 0.869 0.000
Pm 0.500 0.369 0.000
Pm 0.500 0.631 0.000
Bi 0.239 0.000 0.742
Bi 0.261 0.500 0.258
Bi 0.739 0.500 0.742
Bi 0.761 0.000 0.258
I 0.000 0.291 0.500
I 0.000 0.709 0.500
I 0.500 0.209 0.500
I 0.500 0.791 0.500

***

[5]
DFT (PBE) results for a geometry-optimized Pm2BiI2 structure. Values from VASP.

Geometry as Quantum ESPRESSO input:
```
&SYSTEM
  ibrav = 0, nat = 15, ntyp = 3
/
ATOMIC_SPECIES
Pm 145.00 Pm.upf
Bi 208.98 Bi.upf
I 126.90 I.upf
CELL_PARAMETERS angstrom
4.496 0.000 0.000
-2.248 3.893 0.000
0.000 0.000 34.348
ATOMIC_POSITIONS crystal
Pm 0.000 0.000 0.114
Pm 0.000 0.000 0.886
Pm 0.333 0.667 0.552
Pm 0.333 0.667 0.781
Pm 0.667 0.333 0.219
Pm 0.667 0.333 0.448
Bi 0.000 0.000 0.500
Bi 0.333 0.667 0.167
Bi 0.667 0.333 0.833
I 0.000 0.000 0.276
I 0.000 0.000 0.724
I 0.333 0.667 0.391
I 0.333 0.667 0.943
I 0.667 0.333 0.057
I 0.667 0.333 0.609
```

***

[6]
DFT (PBE) results for a geometry-optimized Pm6Bi5I structure. Values from VASP.

Geometry as Quantum ESPRESSO input:
```
&SYSTEM
  ibrav = 0, nat = 12, ntyp = 3
/
ATOMIC_SPECIES
Pm 145.00 Pm.upf
Bi 208.98 Bi.upf
I 126.90 I.upf
CELL_PARAMETERS angstrom
3.968 -6.875 0.000
3.968 6.875 0.000
-2.634 0.000 7.468
ATOMIC_POSITIONS crystal
Pm 0.066 0.414 0.742
Pm 0.238 0.238 0.255
Pm 0.414 0.066 0.742
Pm 0.586 0.934 0.258
Pm 0.762 0.762 0.745
Pm 0.934 0.586 0.258
Bi 0.000 0.000 0.500
Bi 0.168 0.832 0.000
Bi 0.339 0.661 0.500
Bi 0.661 0.339 0.500
Bi 0.832 0.168 0.000
I 0.500 0.500 0.000
```

***

[7]
! PmBiI PBE relaxed; values from VASP
! energy relative to the lowest polymorph listed for this composition: 0.185 eV/atom
&SYSTEM
  ibrav = 0, nat = 12, ntyp = 3
/
ATOMIC_SPECIES
Pm 145.00 Pm.upf
Bi 208.98 Bi.upf
I 126.90 I.upf
CELL_PARAMETERS angstrom
10.891 0.000 0.000
0.000 5.256 0.000
-0.454 0.000 8.251
ATOMIC_POSITIONS crystal
Pm 0.228 0.000 0.211
Pm 0.272 0.500 0.789
Pm 0.728 0.500 0.211
Pm 0.772 0.000 0.789
Bi 0.085 0.000 0.858
Bi 0.415 0.500 0.142
Bi 0.585 0.500 0.858
Bi 0.915 0.000 0.142
I 0.146 0.500 0.397
I 0.354 0.000 0.603
I 0.646 0.000 0.397
I 0.854 0.500 0.603

***

[8]
! PmBiI PBE relaxed; values from VASP
! energy relative to the lowest polymorph listed for this composition: 0.349 eV/atom
&SYSTEM
  ibrav = 0, nat = 3, ntyp = 3
/
ATOMIC_SPECIES
Pm 145.00 Pm.upf
Bi 208.98 Bi.upf
I 126.90 I.upf
CELL_PARAMETERS angstrom
5.449 0.000 0.000
-2.724 4.719 0.000
0.000 0.000 3.796
ATOMIC_POSITIONS crystal
Pm 0.000 0.000 0.000
Bi 0.333 0.667 0.500
I 0.667 0.333 0.000

***

| no. | formation energy without anion corrections (eV/f.u.) |
| --- | --- |
| 1 | -2.29 |
| 2 | -6.77 |
| 3 | -3.06 |
| 4 | -2.93 |
| 5 | -5.97 |
| 6 | -11.40 |
| 7 | -2.37 |
| 8 | -1.89 |